Entry 1:
Density functional theory data (GGA-PBE) for a relaxed structure of CsAgTe2.

* formation energy (no corrections): -1.95 eV per formula unit
* DOS(E_F): 0.00 states/eV/f.u.

a b c (Å): 6.5097 15.2751 6.7006
angles (deg): 90.00 111.23 90.00
Sites, in units of the cell vectors:
Cs (0.0000, 0.1037, 0.2500)
Cs (0.0000, 0.8963, 0.7500)
Cs (0.5000, 0.3963, 0.7500)
Cs (0.5000, 0.6037, 0.2500)
Ag (0.0000, 0.2637, 0.7500)
Ag (0.0000, 0.7363, 0.2500)
Ag (0.5000, 0.2363, 0.2500)
Ag (0.5000, 0.7637, 0.7500)
Te (0.1514, 0.3619, 0.1415)
Te (0.1514, 0.6381, 0.6415)
Te (0.3486, 0.1381, 0.8585)
Te (0.3486, 0.8619, 0.3585)
Te (0.6514, 0.1381, 0.6415)
Te (0.6514, 0.8619, 0.1415)
Te (0.8486, 0.3619, 0.3585)
Te (0.8486, 0.6381, 0.8585)


Entry 2:
Density functional theory data (GGA-PBE) for a relaxed structure of CsAgTe2.

* formation energy (no corrections): -1.87 eV per formula unit
* DOS(E_F): 0.00 states/eV/f.u.

a b c (Å): 10.1461 6.1012 12.1533
angles (deg): 90.00 125.66 90.00
Sites, in units of the cell vectors:
Cs (0.1586, 0.0752, 0.3728)
Cs (0.1586, 0.4248, 0.8728)
Cs (0.8414, 0.5752, 0.1272)
Cs (0.8414, 0.9248, 0.6272)
Ag (0.4224, 0.2376, 0.2254)
Ag (0.4224, 0.2624, 0.7254)
Ag (0.5776, 0.7376, 0.2746)
Ag (0.5776, 0.7624, 0.7746)
Te (0.1623, 0.5748, 0.5666)
Te (0.1623, 0.9252, 0.0666)
Te (0.3893, 0.5820, 0.3584)
Te (0.3893, 0.9180, 0.8584)
Te (0.6107, 0.0820, 0.1416)
Te (0.6107, 0.4180, 0.6416)
Te (0.8377, 0.0748, 0.9334)
Te (0.8377, 0.4252, 0.4334)